Record 1
Material: ErLuSiPd
Method: DFT, PBE
State: optimized geometry

Calculated values
total magnetization: 0.00 μB per formula unit
E_form (uncorrected): -0.7528 eV/atom
V: 20.797 Å³/atom

a b c (Å): 4.9000 4.9000 4.9000
angles (deg): 60.00 60.00 60.00
Atoms (fractional coordinates):
Si: 0.7500 0.7500 0.7500
Lu: 0.5000 0.5000 0.5000
Pd: 0.2500 0.2500 0.2500
Er: 0.0000 0.0000 0.0000

Record 2
Material: ErLuTcPd
Method: DFT, PBE
State: optimized geometry

Calculated values
total magnetization: 0.00 μB per formula unit
V: 19.708 Å³/atom
DFT formation energy: -0.45 eV/atom

a b c (Å): 4.8129 4.8129 4.8129
angles (deg): 60.00 60.00 60.00
Atoms (fractional coordinates):
Lu: 0.2500 0.2500 0.2500
Tc: 0.5000 0.5000 0.5000
Pd: 0.0000 0.0000 0.0000
Er: 0.7500 0.7500 0.7500

Record 3
Material: ErLuTlPd
Method: DFT, PBE
State: optimized geometry

Calculated values
total magnetization: 0.00 μB per formula unit
V: 23.496 Å³/atom
DFT formation energy: -0.56 eV/atom

a b c (Å): 5.1033 5.1033 5.1033
angles (deg): 60.00 60.00 60.00
Atoms (fractional coordinates):
Tl: 0.0000 0.0000 0.0000
Lu: 0.7500 0.7500 0.7500
Pd: 0.5000 0.5000 0.5000
Er: 0.2500 0.2500 0.2500

Record 4
Material: ErLuZnPd
Method: DFT, PBE
State: optimized geometry

Calculated values
total magnetization: 0.00 μB per formula unit
V: 21.189 Å³/atom
DFT formation energy: -0.64 eV/atom

a b c (Å): 4.9305 4.9305 4.9305
angles (deg): 60.00 60.00 60.00
Atoms (fractional coordinates):
Zn: 0.0000 0.0000 0.0000
Lu: 0.7500 0.7500 0.7500
Pd: 0.5000 0.5000 0.5000
Er: 0.2500 0.2500 0.2500

Question: Number 2 is which compound?
Answer: ErLuTcPd

Question: What is the formula in the second record?
Answer: ErLuTcPd